(1)
This record from Alexandria describes a geometry-optimized RbGePd structure. The functional is PBE.

## Properties
- Energy relative to the elements: -0.6 eV/f.u.
- Calculated volume: 208.4 Å³/cell
- Relative energy among the computed polymorphs: 0.0 meV per atom

Geometry as CIF:
```
data_RbGePd
_space_group_name_H-M_alt 'P -1'
_space_group_IT_number 2
_cell_length_a 4.892
_cell_length_b 6.966
_cell_length_c 6.978
_cell_angle_alpha 102.92
_cell_angle_beta 105.92
_cell_angle_gamma 105.75
loop_
_space_group_symop_operation_xyz
'x,y,z'
'-x,-y,-z'
loop_
_atom_site_label
_atom_site_type_symbol
_atom_site_fract_x
_atom_site_fract_y
_atom_site_fract_z
Rb1 Rb 0.003 0.196 0.305
Ge1 Ge 0.456 0.641 0.140
Pd1 Pd 0.032 0.345 0.844
```

***

(2)
This record from Alexandria describes a geometry-optimized NaLaTlPd structure. The functional is PBE.

## Properties
- Energy relative to the elements: -1.2 eV/f.u.
- Calculated volume: 409.3 Å³/cell

Geometry as CIF:
```
data_NaLaTlPd
_space_group_name_H-M_alt 'F -4 3 m'
_space_group_IT_number 216
_space_group_name_Hall 'F -4 2 3'
_cell_length_a 7.425
_cell_length_b 7.425
_cell_length_c 7.425
_cell_angle_alpha 90.00
_cell_angle_beta 90.00
_cell_angle_gamma 90.00
loop_
_atom_site_label
_atom_site_type_symbol
_atom_site_fract_x
_atom_site_fract_y
_atom_site_fract_z
Na1 Na 0.000 0.000 0.000
La1 La 0.000 0.000 0.500
Tl1 Tl 0.250 0.250 0.750
Pd1 Pd 0.250 0.250 0.250
```

***

(3)
This record from Alexandria describes a geometry-optimized InTc2HgO8 structure. The functional is PBE.

## Properties
- Formation energy (no corrections): -14.66 eV/f.u.
- Calculated volume: 249.3 Å³/cell

Geometry as CIF:
```
data_InTc2HgO8
_space_group_name_H-M_alt 'P -3'
_space_group_IT_number 147
_cell_length_a 5.7130
_cell_length_b 5.7130
_cell_length_c 8.8208
_cell_angle_alpha 90.00
_cell_angle_beta 90.00
_cell_angle_gamma 120.00
loop_
_space_group_symop_operation_xyz
'x,y,z'
'-x,-y,-z'
'-y,x-y,z'
'y,-x+y,-z'
'-x+y,-x,z'
'x-y,x,-z'
loop_
_atom_site_label
_atom_site_type_symbol
_atom_site_fract_x
_atom_site_fract_y
_atom_site_fract_z
In1 In 0.0000 0.0000 0.0000
Tc1 Tc 0.3333 0.6667 0.2087
Hg1 Hg 0.0000 0.0000 0.5000
O1 O 0.0713 0.3491 0.1415
O2 O 0.3333 0.6667 0.4023
```